Compound: YGeP2Cl
Source: the Alexandria database
Functional: GGA-PBE
Structure: optimized geometry

```
data_YGeP2Cl
_chemical_formula_sum 'Y1 Ge1 P2 Cl1'
_cell_length_a 4.7520
_cell_length_b 4.7520
_cell_length_c 4.8370
_cell_angle_alpha 90.00
_cell_angle_beta 90.00
_cell_angle_gamma 90.00
_space_group_name_H-M_alt 'P 1'
_space_group_IT_number 1
_space_group_name_Hall 'P 1'
loop_
_atom_site_label
_atom_site_fract_x
_atom_site_fract_y
_atom_site_fract_z
Y1 0.0000 0.0000 0.0000
Ge1 0.5000 0.5000 0.5000
P1 0.0000 0.5000 0.5000
P2 0.5000 0.0000 0.5000
Cl1 0.5000 0.5000 0.0000
```

Computed properties:
For the density, the calculation gives 3.937 g/cm³. The value obtained for the total DFT energy (no corrections) is -24.70 eV per formula unit. Its uncorrected formation energy is -0.19 eV/atom.